1.
Material: SrThCdGa
Method: DFT, GGA-PBE
State: relaxed

The value obtained for the density of states at the Fermi level is 1.1375 states/eV/atom. As for the total energy: -3.431 eV per atom. The total moment is 0.000 μB/f.u.

The structure belongs to space group F-43m (No. 216); the cell edges are 7.6980, 7.6980 and 7.6980 Å and the angles 90.00°, 90.00° and 90.00°. The distinct sites, in fractional coordinates, are Sr at (0.0000, 0.0000, 0.0000), Th at (0.0000, 0.0000, 0.5000), Cd at (0.2500, 0.2500, 0.7500) and Ga at (0.2500, 0.2500, 0.2500).

***

2.
Material: Ce2ZrH6
Method: DFT, GGA-PBE
State: relaxed

The value obtained for the density of states at the Fermi level is 1.4483 states/eV/atom. As for the total energy: -5.031 eV per atom. The total moment is 1.525 μB/f.u.

The structure belongs to space group Immm (No. 71); the cell edges are 3.6076, 5.3863 and 10.8769 Å and the angles 90.00°, 90.00° and 90.00°. The distinct sites, in fractional coordinates, are Ce at (0.0000, 0.0000, 0.1587), Zr at (0.0000, 0.0000, 0.5000), H at (0.0000, 0.2252, 0.3437) and H at (0.0000, 0.2927, 0.0000).

***

3.
Material: Pm2Pr3Ho4
Method: DFT, GGA-PBE
State: relaxed

The value obtained for the density of states at the Fermi level is 1.5524 states/eV/atom. For the relative energy among the computed polymorphs, the calculation gives 0.0767 eV per atom. As for the total energy: -4.589 eV per atom. The total moment is 0.000 μB/f.u.

The structure belongs to space group C2/c (No. 15); the cell edges are 16.5133, 11.8404 and 6.1865 Å and the angles 90.00°, 97.53° and 90.00°. The distinct sites, in fractional coordinates, are Pm at (0.1119, 0.1283, 0.2896), Pr at (0.0000, 0.1304, 0.7500), Pr at (0.1630, 0.3579, 0.5906), Ho at (0.0574, 0.3839, 0.0388) and Ho at (0.2299, 0.1170, 0.8629).